# BeV2HgH | the Alexandria database | PBE-GGA | relaxed
# Crystal system: tetragonal
# E_tot: -3.616 eV per atom
# Calculated density: 5.64 Mg/m³
data_BeV2HgH
_chemical_formula_sum 'Be1 V2 Hg1 H1'
_symmetry_space_group_name_H-M 'P 4/m m m'
_symmetry_Int_Tables_number 123
_symmetry_space_group_name_Hall '-P 4 2'
_cell_length_a 5.2266
_cell_length_b 5.2266
_cell_length_c 3.3668
_cell_angle_alpha 90.00
_cell_angle_beta 90.00
_cell_angle_gamma 90.00
loop_
_atom_site_label
_atom_site_type_symbol
_atom_site_fract_x
_atom_site_fract_y
_atom_site_fract_z
Be1 Be 0.0000 0.0000 0.0000
V1 V 0.0000 0.5000 0.5000
Hg1 Hg 0.5000 0.5000 0.5000
H1 H 0.5000 0.5000 0.0000


# BeZnHgH2 | the Alexandria database | PBE-GGA | relaxed
# Crystal system: tetragonal
# E_tot: -1.911 eV per atom
# Calculated density: 6.15 Mg/m³
data_BeZnHgH2
_chemical_formula_sum 'Be1 Zn1 Hg1 H2'
_symmetry_space_group_name_H-M 'P 4/m m m'
_symmetry_Int_Tables_number 123
_symmetry_space_group_name_Hall '-P 4 2'
_cell_length_a 3.3733
_cell_length_b 3.3733
_cell_length_c 6.5710
_cell_angle_alpha 90.00
_cell_angle_beta 90.00
_cell_angle_gamma 90.00
loop_
_atom_site_label
_atom_site_type_symbol
_atom_site_fract_x
_atom_site_fract_y
_atom_site_fract_z
Be1 Be 0.0000 0.0000 0.0000
Zn1 Zn 0.5000 0.5000 0.5000
Hg1 Hg 0.5000 0.5000 0.0000
H1 H 0.0000 0.5000 0.5000


# Zr2BeHgH | the Alexandria database | PBE-GGA | relaxed
# Crystal system: tetragonal
# E_tot: -4.984 eV per atom
# Calculated density: 8.40 Mg/m³
data_Zr2BeHgH
_chemical_formula_sum 'Zr2 Be1 Hg1 H1'
_symmetry_space_group_name_H-M 'P 4/m m m'
_symmetry_Int_Tables_number 123
_symmetry_space_group_name_Hall '-P 4 2'
_cell_length_a 4.3620
_cell_length_b 4.3620
_cell_length_c 4.0839
_cell_angle_alpha 90.00
_cell_angle_beta 90.00
_cell_angle_gamma 90.00
loop_
_atom_site_label
_atom_site_type_symbol
_atom_site_fract_x
_atom_site_fract_y
_atom_site_fract_z
Zr1 Zr 0.0000 0.5000 0.0000
Be1 Be 0.0000 0.0000 0.5000
Hg1 Hg 0.5000 0.5000 0.5000
H1 H 0.0000 0.0000 0.0000


# HoBeH | the Alexandria database | PBE-GGA | relaxed
# Crystal system: tetragonal
# E_tot: -3.673 eV per atom
# Calculated density: 6.53 Mg/m³
data_HoBeH
_chemical_formula_sum 'Ho4 Be4 H4'
_symmetry_space_group_name_H-M 'I 4/m m m'
_symmetry_Int_Tables_number 139
_symmetry_space_group_name_Hall '-I 4 2'
_cell_length_a 3.1136
_cell_length_b 3.1136
_cell_length_c 18.3587
_cell_angle_alpha 90.00
_cell_angle_beta 90.00
_cell_angle_gamma 90.00
loop_
_atom_site_label
_atom_site_type_symbol
_atom_site_fract_x
_atom_site_fract_y
_atom_site_fract_z
Ho1 Ho 0.0000 0.0000 0.1677
Be1 Be 0.0000 0.0000 0.4423
H1 H 0.0000 0.0000 0.2902


# Ho2BeH | the Alexandria database | PBE-GGA | relaxed
# Crystal system: trigonal
# E_tot: -3.776 eV per atom
# Calculated density: 5.50 Mg/m³
data_Ho2BeH
_chemical_formula_sum 'Ho6 Be3 H3'
_symmetry_space_group_name_H-M 'R -3 m'
_symmetry_Int_Tables_number 166
_symmetry_space_group_name_Hall '-R 3 2"'
_cell_length_a 4.0956
_cell_length_b 4.0956
_cell_length_c 21.2017
_cell_angle_alpha 90.00
_cell_angle_beta 90.00
_cell_angle_gamma 120.00
loop_
_atom_site_label
_atom_site_type_symbol
_atom_site_fract_x
_atom_site_fract_y
_atom_site_fract_z
Ho1 Ho 0.0000 0.0000 0.0998
Be1 Be 0.0000 0.0000 0.5000
H1 H 0.0000 0.0000 0.0000


# HoBeH8Ir2 | the Alexandria database | PBE-GGA | relaxed
# Crystal system: monoclinic
# E_tot: -4.597 eV per atom
# Calculated density: 10.27 Mg/m³
data_HoBeH8Ir2
_chemical_formula_sum 'Ho2 Be2 H16 Ir4'
_symmetry_space_group_name_H-M 'C 1 2/m 1'
_symmetry_Int_Tables_number 12
_cell_length_a 7.6215
_cell_length_b 4.1199
_cell_length_c 6.3477
_cell_angle_alpha 90.00
_cell_angle_beta 113.23
_cell_angle_gamma 90.00
loop_
_symmetry_equiv_pos_as_xyz
'x,y,z'
'-x,-y,-z'
'-x,y,-z'
'x,-y,z'
'x+1/2,y+1/2,z'
'-x+1/2,-y+1/2,-z'
'-x+1/2,y+1/2,-z'
'x+1/2,-y+1/2,z'
loop_
_atom_site_label
_atom_site_type_symbol
_atom_site_fract_x
_atom_site_fract_y
_atom_site_fract_z
Ho1 Ho 0.0000 0.0000 0.0000
Be1 Be 0.0000 0.5000 0.5000
H1 H 0.0608 0.5000 0.1826
H2 H 0.1641 0.2639 0.8130
H3 H 0.2380 0.0000 0.3866
Ir1 Ir 0.2047 0.0000 0.6383